VASP calculation (PBE) on crystalline Ir5Os at its relaxed geometry.

abc: 4.765 4.765 4.437
angles: 90.00 90.00 120.00
Sites, in units of the cell vectors:
Ir: 0.000 0.333 0.500
Ir: 0.333 0.671 0.000
Os: 0.333 0.000 0.500
Ir: 0.667 0.667 0.500
Ir: 0.005 0.000 0.000
Ir: 0.662 0.329 0.000

Crystal system   hexagonal
Space-group type   P-62m
ρ   21.91 g cm⁻³
Energy   -55.139 eV/f.u.
Formation energy   66 meV/atom
Total magnetization   0.00 μB per atom